(1)
BaMnPt2: relaxed, PBE.

Output
Total moment in μB/cell: 9.230
ΔH_f (0 K) in meV per atom: -114

```
data_BaMnPt2
_space_group_name_H-M_alt 'I m m m'
_space_group_IT_number 71
_space_group_name_Hall '-I 2 2'
_cell_length_a 4.266
_cell_length_b 5.935
_cell_length_c 7.697
_cell_angle_alpha 90.00
_cell_angle_beta 90.00
_cell_angle_gamma 90.00
loop_
_atom_site_label
_atom_site_fract_x
_atom_site_fract_y
_atom_site_fract_z
Ba1 0.000 0.000 0.000
Mn1 0.000 0.000 0.500
Pt1 0.000 0.500 0.187
```

(2)
RbOsCl2F6: relaxed, PBE.

Output
Total moment in μB/cell: 6.000
Formation energy from raw total energies in meV/atom: -1698

```
data_RbOsCl2F6
_space_group_name_H-M_alt 'P m m n'
_space_group_IT_number 59
_cell_length_a 6.529
_cell_length_b 9.286
_cell_length_c 8.368
_cell_angle_alpha 90.00
_cell_angle_beta 90.00
_cell_angle_gamma 90.00
loop_
_space_group_symop_operation_xyz
'x,y,z'
'-x,-y,-z'
'-x+1/2,-y+1/2,z'
'x+1/2,y+1/2,-z'
'x+1/2,-y,-z'
'-x+1/2,y,z'
'-x,y+1/2,-z'
'x,-y+1/2,z'
loop_
_atom_site_label
_atom_site_fract_x
_atom_site_fract_y
_atom_site_fract_z
Rb1 0.250 0.250 0.184
Os1 0.250 0.750 0.224
Cl1 0.250 0.642 0.710
F1 0.040 0.750 0.382
F2 0.041 0.750 0.062
F3 0.250 0.543 0.223
```

(3)
FeNiTe2: relaxed, PBE.

Output
Total moment in μB/cell: 1.989
Formation energy from raw total energies in meV/atom: -95

```
data_FeNiTe2
_space_group_name_H-M_alt 'P -4 m 2'
_space_group_IT_number 115
_cell_length_a 3.777
_cell_length_b 3.777
_cell_length_c 6.275
_cell_angle_alpha 90.00
_cell_angle_beta 90.00
_cell_angle_gamma 90.00
loop_
_space_group_symop_operation_xyz
'x,y,z'
'y,-x,-z'
'-x,-y,z'
'-y,x,-z'
'-x,y,z'
'-y,-x,-z'
'x,-y,z'
'y,x,-z'
loop_
_atom_site_label
_atom_site_fract_x
_atom_site_fract_y
_atom_site_fract_z
Fe1 0.000 0.000 0.000
Ni1 0.500 0.500 0.000
Te1 0.000 0.500 0.729
```